Record 1
This record from Alexandria via LeMat-Bulk describes a relaxed structure of La8Ho6Th. The functional is PBE-GGA.

The space group is R-3 (No. 148, hexagonal axes) and the conventional cell measures 9.1786, 9.1786 and 21.1688 Å, with angles of 90.00, 90.00 and 120.00 degrees. Symmetry generates all atoms from La at (0.0000, 0.0000, 0.0781), La at (0.0798, 0.5622, 0.3035), Ho at (0.0422, 0.2434, 0.2053) and Th at (0.0000, 0.0000, 0.5000).

The electronic total energy is -4.84 eV per atom.


Record 2
This record from Alexandria via LeMat-Bulk describes a relaxed structure of La3Ho2Th. The functional is PBE-GGA.

The space group is Imma (No. 74) and the conventional cell measures 5.1761, 10.2058 and 15.4897 Å, with angles of 90.00, 90.00 and 90.00 degrees. Symmetry generates all atoms from La at (0.0000, 0.0000, 0.0000), La at (0.0000, 0.0030, 0.3324), Ho at (0.0000, 0.2500, 0.4955), Ho at (0.0000, 0.2500, 0.8342) and Th at (0.0000, 0.2500, 0.1709).

The electronic total energy is -5.18 eV per atom. Its energy relative to the lowest polymorph listed for this composition is 0 meV per atom.


Record 3
This record from Alexandria via LeMat-Bulk describes a relaxed structure of La5Ho6Th. The functional is PBE-GGA.

The space group is C2/m (No. 12) and the conventional cell measures 6.3066, 10.9183 and 11.8010 Å, with angles of 90.00, 100.26 and 90.00 degrees. Symmetry generates all atoms from La at (0.0000, 0.0000, 0.0000), La at (0.0000, 0.1668, 0.5000), La at (0.0000, 0.3331, 0.0000), Ho at (0.2461, 0.3357, 0.7469), Ho at (0.2465, 0.5000, 0.2532) and Th at (0.0000, 0.5000, 0.5000).

The electronic total energy is -4.94 eV per atom.


Record 4
This record from Alexandria via LeMat-Bulk describes a relaxed structure of LaHoTh4. The functional is PBE-GGA.

The space group is P4/mmm (No. 123) and the conventional cell measures 3.5937, 3.5937 and 15.1726 Å, with angles of 90.00, 90.00 and 90.00 degrees. Symmetry generates all atoms from La at (0.0000, 0.0000, 0.0000), Ho at (0.5000, 0.5000, 0.5000), Th at (0.0000, 0.0000, 0.3345) and Th at (0.5000, 0.5000, 0.1739).

The electronic total energy is -6.49 eV per atom.


Number 1: formation energy from the elements 115 meV per atom. Number 2: formation energy from the elements 42 meV per atom. Number 3: formation energy from the elements 20 meV per atom. Number 4: formation energy from the elements 39 meV per atom.